Run a
YZnFe3: relaxed, PBE-GGA.

Output
Fermi-level density of states (states/eV/f.u.): 5.10
Volume (Å³/atom): 18.4

Cell: 4.5176 4.5176 4.5176 Å, 90.00 90.00 90.00°
Positions (direct):
Y (0.0000, 0.0000, 0.0000)
Zn (0.5000, 0.5000, 0.5000)
Fe (0.0000, 0.5000, 0.5000)
Fe (0.5000, 0.0000, 0.5000)
Fe (0.5000, 0.5000, 0.0000)

---

Run b
YZnFe3: relaxed, PBE-GGA.

Output
Fermi-level density of states (states/eV/f.u.): 5.71
Volume (Å³/atom): 20.9

Cell: 4.7114 4.7114 4.7114 Å, 90.00 90.00 90.00°
Positions (direct):
Y (0.0000, 0.0000, 0.0000)
Zn (0.5000, 0.5000, 0.5000)
Fe (0.0000, 0.0000, 0.5000)
Fe (0.0000, 0.5000, 0.0000)
Fe (0.5000, 0.0000, 0.0000)

---

Most stable of them? run a.

---

Run a
YZr2Fe2: relaxed, PBE-GGA.

Output
Fermi-level density of states (states/eV/f.u.): 7.06
Volume (Å³/atom): 19.8

Cell: 6.1259 6.1259 6.1259 Å, 138.69 138.69 59.84°
Positions (direct):
Y (0.0000, 0.0000, 0.0000)
Zr (0.2500, 0.7500, 0.5000)
Zr (0.7500, 0.2500, 0.5000)
Fe (0.3969, 0.3969, 0.0000)
Fe (0.6031, 0.6031, 0.0000)

---

Run b
YZr2Fe2: relaxed, PBE-GGA.

Output
Fermi-level density of states (states/eV/f.u.): 7.39
Volume (Å³/atom): 20.4

Cell: 6.6134 6.6134 6.6134 Å, 143.41 143.41 52.72°
Positions (direct):
Y (0.0000, 0.0000, 0.0000)
Zr (0.3653, 0.3653, 0.0000)
Zr (0.6347, 0.6347, 0.0000)
Fe (0.2500, 0.7500, 0.5000)
Fe (0.7500, 0.2500, 0.5000)

---

Most stable of them? run a.